Here is a relaxed CeY4Si4 crystal from the Alexandria database. Energies are from PBE-GGA.

abc: 7.470 7.748 14.705
angles: 90.00 90.00 90.00
Each line ends with the local moment (μB).
Element x y z (fractional)
Y  0.067  0.320  0.628  0.08
Y  0.898  0.987  0.500  0.13
Si  0.602  0.971  0.790  -0.01
Y  0.434  0.679  0.873  0.07
Y  0.066  0.321  0.373  0.07
Y  0.566  0.179  0.627  0.07
Si  0.486  0.376  0.001  -0.01
Ce  0.279  0.181  0.152  0.81
Ce  0.221  0.819  0.652  0.81
Y  0.780  0.317  0.150  0.08
Si  0.514  0.876  0.499  -0.01
Si  0.102  0.529  0.210  -0.01
Si  0.772  0.394  0.500  -0.01
Ce  0.721  0.681  0.348  0.81
Si  0.228  0.894  0.000  -0.01
Y  0.102  0.487  0.000  0.13
Si  0.014  0.624  0.501  -0.01
Si  0.108  0.525  0.791  -0.01
Y  0.720  0.683  0.650  0.08
Ce  0.779  0.319  0.848  0.81
Y  0.220  0.817  0.350  0.08
Y  0.933  0.820  0.872  0.08
Y  0.433  0.680  0.128  0.08
Y  0.398  0.513  0.500  0.13
Si  0.898  0.029  0.290  -0.01
Si  0.608  0.975  0.209  -0.01
Si  0.986  0.124  0.999  -0.01
Y  0.934  0.821  0.127  0.07
Si  0.398  0.471  0.710  -0.01
Y  0.567  0.180  0.372  0.08
Y  0.602  0.013  0.000  0.13
Si  0.892  0.025  0.709  -0.01
Si  0.728  0.606  0.000  -0.01
Si  0.392  0.475  0.291  -0.01
Si  0.272  0.106  0.500  -0.01
Y  0.280  0.183  0.850  0.08

Results
- DOS(E_F): 51.4 states/eV per cell
- Formation energy from raw total energies: -17.25 kcal/mol of atoms
- E: -6.691 eV/atom
- Volume: 851.1 Å³/cell